Density functional theory data (GGA-PBE) for crystalline PbIN at its relaxed geometry.

Unit cell a=6.1733 b=7.3625 c=4.0049 alpha=75.03 beta=91.72 gamma=85.78
With the nearest neighbours (Å) after each atom.
Positions (direct):
1 Pb 0.3820 0.2037 0.1561  3 N 2.35-2.48
2 Pb 0.6180 0.7963 0.8439  3 N 2.35-2.48
3 I 0.8723 0.2785 0.5786  1 N 2.10
4 I 0.1277 0.7215 0.4214  1 N 2.10
5 N 0.4005 0.8731 0.2871  1 I 2.10, 1 Pb 2.35
6 N 0.5995 0.1269 0.7129  1 I 2.10, 1 Pb 2.35

Values from the calculation:
Space-group type ... P-1 (2)
ΔE_f (raw) ... 504 meV per atom

***

Density functional theory data (GGA-PBE) for crystalline PbI3N2 at its relaxed geometry.

Unit cell a=7.4089 b=16.3373 c=4.9717 alpha=89.26 beta=48.24 gamma=101.06
With the nearest neighbours (Å) after each atom.
Positions (direct):
1 Pb 0.6227 0.7324 0.3233  2 N 2.37-2.52
2 Pb 0.3773 0.2676 0.6767  2 N 2.37-2.52
3 I 0.7777 0.2115 0.7537  2 N 1.97-1.99
4 I 0.2223 0.7885 0.2463  2 N 1.97-1.99
5 I 0.1701 0.0726 0.6866  1 N 2.68, 1 I 2.96
6 I 0.9414 0.4030 0.1539  1 N 2.35
7 I 0.0586 0.5970 0.8461  1 N 2.35
8 I 0.8299 0.9274 0.3134  1 N 2.68, 1 I 2.96
9 N 0.5648 0.7830 0.8137  1 I 1.97
10 N 0.8140 0.2545 0.3394  1 I 1.99
11 N 0.1860 0.7455 0.6606  1 I 1.99
12 N 0.4352 0.2170 0.1863  1 I 1.97

Values from the calculation:
Space-group type ... P-1 (2)
ΔE_f (raw) ... 795 meV per atom

***

Density functional theory data (GGA-PBE) for crystalline PbIN2 at its relaxed geometry.

Unit cell a=7.0568 b=7.0568 c=7.0568 alpha=29.41 beta=29.41 gamma=29.41
With the nearest neighbours (Å) after each atom.
Positions (direct):
1 Pb 0.5000 0.5000 0.5000  6 N 2.38
2 I 0.0000 0.0000 0.0000  2 N 2.19
3 N 0.8919 0.8919 0.8919  1 I 2.19, 3 Pb 2.38
4 N 0.1081 0.1081 0.1081  1 I 2.19, 3 Pb 2.38

Values from the calculation:
Space-group type ... R-3m (166)
Excess energy over the best structure of this formula in the dataset ... 1039 meV per atom
ΔE_f (raw) ... 1084 meV per atom

***

Density functional theory data (GGA-PBE) for crystalline PbIN at its relaxed geometry.

Unit cell a=6.9172 b=6.6294 c=7.6297 alpha=132.84 beta=90.00 gamma=121.45
With the nearest neighbours (Å) after each atom.
Positions (direct):
1 I 0.7557 0.5114 0.7410  1 N 2.01
2 I 0.2443 0.4886 0.2590  1 N 2.01
3 N 0.3864 0.7728 0.1963  1 I 2.01, 1 Pb 2.18
4 N 0.6136 0.2272 0.8037  1 I 2.01, 1 Pb 2.18
5 Pb 0.7407 0.4815 0.2156  1 N 2.18
6 Pb 0.2593 0.5185 0.7844  1 N 2.18

Values from the calculation:
Space-group type ... C2/m (12)
ΔE_f (raw) ... 1009 meV per atom

***

Density functional theory data (GGA-PBE) for crystalline PbIN3 at its relaxed geometry.

Unit cell a=4.3188 b=4.3188 c=4.3188 alpha=90.00 beta=90.00 gamma=90.00
With the nearest neighbours (Å) after each atom.
Positions (direct):
1 Pb 0.0000 0.0000 0.0000  6 N 2.16
2 I 0.5000 0.5000 0.5000  12 N 3.05
3 N 0.0000 0.5000 0.0000  2 Pb 2.16
4 N 0.0000 0.0000 0.5000  2 Pb 2.16
5 N 0.5000 0.0000 0.0000  2 Pb 2.16

Values from the calculation:
Space-group type ... Pm-3m (221)
ΔE_f (raw) ... 2428 meV per atom

***

Density functional theory data (GGA-PBE) for crystalline PdPbI2N at its relaxed geometry.

Unit cell a=6.1413 b=6.1413 c=4.2679 alpha=90.00 beta=90.00 gamma=90.00
With the nearest neighbours (Å) after each atom.
Positions (direct):
1 Pb 0.0000 0.0000 0.0000  2 N 2.13
2 I 0.0000 0.5000 0.0000  2 Pb 3.07
3 I 0.5000 0.0000 0.0000  2 Pb 3.07
4 Pd 0.5000 0.5000 0.5000  8 I 3.74
5 N 0.0000 0.0000 0.5000  2 Pb 2.13

Values from the calculation:
Space-group type ... P4/mmm (123)
Excess energy over the best structure of this formula in the dataset ... 652 meV per atom
ΔE_f (raw) ... 1080 meV per atom

***

Density functional theory data (GGA-PBE) for crystalline PdPb2IN at its relaxed geometry.

Unit cell a=5.9880 b=4.0124 c=5.9880 alpha=90.00 beta=90.00 gamma=90.00
With the nearest neighbours (Å) after each atom.
Positions (direct):
1 Pb 0.0000 0.0000 0.5000  2 I 2.99
2 Pb 0.5000 0.0000 0.0000  2 I 2.99
3 I 0.0000 0.0000 0.0000  2 N 2.01
4 Pd 0.5000 0.5000 0.5000  8 Pb 3.60, 2 Pd 4.01
5 N 0.0000 0.5000 0.0000  2 I 2.01

Values from the calculation:
Space-group type ... P4/mmm (123)
ΔE_f (raw) ... 1231 meV per atom

***

Density functional theory data (GGA-PBE) for crystalline PdPbIN2 at its relaxed geometry.

Unit cell a=4.3538 b=4.3538 c=6.6035 alpha=90.00 beta=90.00 gamma=90.00
With the nearest neighbours (Å) after each atom.
Positions (direct):
1 Pb 0.0000 0.0000 0.0000  4 N 2.18
2 I 0.0000 0.0000 0.5000  4 Pd 3.08, 2 Pb 3.30
3 Pd 0.5000 0.5000 0.5000  4 I 3.08
4 N 0.0000 0.5000 0.0000  2 Pb 2.18
5 N 0.5000 0.0000 0.0000  2 Pb 2.18

Values from the calculation:
Space-group type ... P4/mmm (123)
Excess energy over the best structure of this formula in the dataset ... 298 meV per atom
ΔE_f (raw) ... 1684 meV per atom

***

Density functional theory data (GGA-PBE) for crystalline PdPbI2N at its relaxed geometry.

Unit cell a=5.9800 b=5.9800 c=3.8082 alpha=90.00 beta=90.00 gamma=90.00
With the nearest neighbours (Å) after each atom.
Positions (direct):
1 Pb 0.5000 0.5000 0.5000  8 I 3.54, 2 Pb 3.81
2 I 0.0000 0.5000 0.0000  2 Pd 2.99
3 I 0.5000 0.0000 0.0000  2 Pd 2.99
4 Pd 0.0000 0.0000 0.0000  2 N 1.90
5 N 0.0000 0.0000 0.5000  2 Pd 1.90

Values from the calculation:
Space-group type ... P4/mmm (123)
Excess energy over the best structure of this formula in the dataset ... 0 meV per atom
ΔE_f (raw) ... 428 meV per atom

***

Density functional theory data (GGA-PBE) for crystalline PdPbIN2 at its relaxed geometry.

Unit cell a=4.2905 b=4.2905 c=5.8440 alpha=90.00 beta=90.00 gamma=90.00
With the nearest neighbours (Å) after each atom.
Positions (direct):
1 Pb 0.5000 0.5000 0.5000  4 I 3.03
2 I 0.0000 0.0000 0.5000  2 Pd 2.92, 4 Pb 3.03
3 Pd 0.0000 0.0000 0.0000  4 N 2.15
4 N 0.0000 0.5000 0.0000  2 Pd 2.15
5 N 0.5000 0.0000 0.0000  2 Pd 2.15

Values from the calculation:
Space-group type ... P4/mmm (123)
Excess energy over the best structure of this formula in the dataset ... 0 meV per atom
ΔE_f (raw) ... 1386 meV per atom

***

Density functional theory data (GGA-PBE) for crystalline Rb2PbI6N at its relaxed geometry.

Unit cell a=8.4019 b=8.4019 c=8.2129 alpha=59.24 beta=59.24 gamma=90.00
With the nearest neighbours (Å) after each atom.
Positions (direct):
1 Pb 0.0000 0.0000 0.0000  6 I 3.10-3.17
2 I 0.2794 0.2794 0.4412  1 N 2.50
3 I 0.7206 0.7206 0.5588  1 N 2.50
4 I 0.2611 0.2611 0.0000  1 N 2.84, 1 Pb 3.10
5 I 0.7389 0.7389 0.0000  1 N 2.84, 1 Pb 3.10
6 I 0.7389 0.2611 0.0000  1 N 2.84, 1 Pb 3.10
7 I 0.2611 0.7389 0.0000  1 N 2.84, 1 Pb 3.10
8 Rb 0.7500 0.2500 0.5000  12 I 4.11-4.21
9 Rb 0.2500 0.7500 0.5000  12 I 4.11-4.21
10 N 0.5000 0.5000 0.0000  2 I 2.50

Values from the calculation:
Space-group type ... I4/mmm (139)
ΔE_f (raw) ... -275 meV per atom

***

Density functional theory data (GGA-PBE) for crystalline RbPbIN2 at its relaxed geometry.

Unit cell a=5.2757 b=5.2757 c=6.8770 alpha=90.00 beta=90.00 gamma=90.00
With the nearest neighbours (Å) after each atom.
Positions (direct):
1 Pb 0.5000 0.5000 0.5000  4 I 3.73
2 I 0.0000 0.0000 0.5000  2 Rb 3.44, 4 Pb 3.73
3 Rb 0.0000 0.0000 0.0000  4 N 2.64
4 N 0.0000 0.5000 0.0000  2 Rb 2.64
5 N 0.5000 0.0000 0.0000  2 Rb 2.64

Values from the calculation:
Space-group type ... P4/mmm (123)
Excess energy over the best structure of this formula in the dataset ... 752 meV per atom
ΔE_f (raw) ... 1709 meV per atom